# 1
DFT (GGA-PBE) results for a geometry-optimized Dy2Er3Zr2 structure.

```
Dy2Er3Zr2
1.0
5.119 0.000 0.679
0.000 3.392 0.000
1.048 0.000 11.728
Dy Er Zr
2 3 2
Cartesian
3.840 1.696 10.317
2.327 1.696 2.090
4.645 0.000 4.252
0.000 0.000 0.000
1.522 0.000 8.156
4.275 1.696 7.042
1.892 1.696 5.366
```

Results
- Crystal system: orthorhombic
- Fermi-level density of states: 10.1 states/eV/cell
- DFT total energy: -5.667 eV per atom
- Calculated formation energy: 0.0453 eV per atom
- Space group: Cmmm
- Volume: 28.75 A^3/atom

=====

# 2
DFT (GGA-PBE) results for a geometry-optimized Dy12Er3Zr structure.

```
Dy12Er3Zr
1.0
-2.618 -3.990 1.386
4.015 -1.844 2.276
-5.231 9.239 16.714
Dy Er Zr
12 3 1
Cartesian
0.698 -2.917 1.831
-0.597 -0.630 5.968
-1.917 1.703 10.188
-3.238 4.035 14.408
-1.929 -0.899 2.675
-3.262 1.454 6.932
-4.588 3.795 11.168
-5.920 6.149 15.425
1.387 0.174 3.120
0.054 2.527 7.377
-1.271 4.868 11.613
-2.604 7.222 15.870
-1.298 2.293 4.148
-2.616 4.620 8.357
-3.933 6.947 12.567
0.000 0.000 0.000
```

Results
- Crystal system: tetragonal
- Fermi-level density of states: 20.8 states/eV/cell
- DFT total energy: -4.805 eV per atom
- Calculated formation energy: 0.0363 eV per atom
- Space group: P4/mmm
- Volume: 30.56 A^3/atom

=====

# 3
DFT (GGA-PBE) results for a geometry-optimized DyEr6Zr structure.

```
DyEr6Zr
1.0
5.994 -0.361 2.256
-0.013 6.417 -0.006
0.949 -0.184 6.573
Dy Er Zr
1 6 1
Cartesian
-0.006 3.208 -0.003
0.833 4.747 3.644
3.977 4.568 4.382
2.953 1.305 4.441
6.097 1.125 5.179
2.952 4.670 1.111
3.978 1.203 7.712
0.000 0.000 0.000
```

Results
- Crystal system: monoclinic
- Fermi-level density of states: 14.4 states/eV/cell
- DFT total energy: -4.816 eV per atom
- Calculated formation energy: 0.2498 eV per atom
- Space group: C2/m
- Volume: 29.88 A^3/atom

=====

# 4
DFT (GGA-PBE) results for a geometry-optimized DyEr14Zr structure.

```
DyEr14Zr
1.0
-2.160 -1.648 6.595
-4.580 -0.395 -5.454
2.902 -10.511 -1.676
Dy Er Zr
1 14 1
Cartesian
-3.774 -0.812 -1.442
-2.321 -6.069 -2.271
-1.112 -6.695 3.749
-4.860 -1.639 1.865
-3.400 -6.891 1.019
-1.475 -0.613 1.292
-0.035 -5.871 0.450
-3.097 -9.371 -1.426
-4.577 -4.010 -0.571
0.329 -8.332 -2.006
-1.151 -2.971 -1.151
-2.007 -8.460 -4.701
-3.444 -3.258 -3.871
-0.768 -9.175 1.343
-2.251 -3.804 2.200
-2.563 -1.440 4.591
```

Results
- Crystal system: orthorhombic
- Fermi-level density of states: 24.9 states/eV/cell
- DFT total energy: -4.800 eV per atom
- Calculated formation energy: 0.0147 eV per atom
- Space group: Amm2
- Volume: 30.39 A^3/atom

=====

# 5
DFT (GGA-PBE) results for a geometry-optimized Dy8Er2Zr structure.

```
Dy8Er2Zr
1.0
6.195 1.661 1.260
1.963 9.262 2.959
1.963 5.344 8.123
Dy Er Zr
8 2 1
Cartesian
3.684 7.896 7.977
6.438 6.458 6.886
3.915 11.263 8.546
6.206 5.004 3.797
3.684 9.809 5.456
6.438 8.371 4.365
6.836 9.887 7.502
3.286 6.380 4.841
6.598 12.819 9.727
3.524 3.448 2.616
0.000 0.000 0.000
```

Results
- Crystal system: monoclinic
- Fermi-level density of states: 18.0 states/eV/cell
- DFT total energy: -4.741 eV per atom
- Calculated formation energy: 0.2129 eV per atom
- Space group: C2/m
- Volume: 31.06 A^3/atom
- Energy above the most stable polymorph in this dataset: 16.3 kJ/mol of atoms

=====

# 6
DFT (GGA-PBE) results for a geometry-optimized Dy2Er12Zr structure.

```
Dy2Er12Zr
1.0
-2.405 -2.948 -5.309
-4.221 -4.839 1.194
-19.252 14.070 4.369
Dy Er Zr
4 24 2
Cartesian
-6.567 2.311 -1.180
-9.926 -1.550 -3.226
-15.998 7.866 3.492
-19.264 3.939 1.423
-18.711 7.709 0.782
-19.621 6.761 4.031
-21.901 6.223 1.346
-21.462 9.175 2.327
-8.725 1.649 -3.857
-5.323 -3.837 1.178
-13.698 4.265 -0.703
-9.622 0.717 -0.599
-18.659 10.175 3.406
-7.289 -3.834 -3.149
-12.893 6.040 1.947
-11.272 2.963 -2.294
-17.163 4.621 4.105
-9.672 4.136 0.364
-3.906 0.002 -1.095
-12.944 0.191 -1.661
-16.246 2.198 -0.143
-6.259 -0.480 -3.779
-14.639 3.280 2.527
-16.244 5.579 0.860
-20.507 10.176 -0.895
-7.164 -1.423 -0.526
-12.146 2.057 0.978
-4.463 -2.947 -2.102
-24.630 7.802 2.750
-4.560 -5.413 -4.554
```

Results
- Crystal system: monoclinic
- Fermi-level density of states: 49.8 states/eV/cell
- DFT total energy: -4.698 eV per atom
- Calculated formation energy: 0.1357 eV per atom
- Space group: C2/m
- Volume: 30.48 A^3/atom

=====

# 7
DFT (GGA-PBE) results for a geometry-optimized Dy4Er10Zr structure.

```
Dy4Er10Zr
1.0
6.997 0.000 3.159
3.499 7.841 1.580
0.272 0.000 8.726
Dy Er Zr
4 10 1
Cartesian
5.242 7.841 7.046
7.269 3.577 11.885
3.498 4.264 1.580
5.525 0.000 6.419
3.634 3.920 5.943
5.920 1.626 9.492
1.349 1.627 2.394
6.458 6.214 9.735
7.808 6.215 5.310
4.847 6.215 3.974
7.133 3.920 7.522
2.959 1.626 8.155
4.309 1.627 3.731
9.418 6.214 11.071
0.000 0.000 0.000
```

Results
- Crystal system: tetragonal
- Fermi-level density of states: 19.6 states/eV/cell
- DFT total energy: -4.596 eV per atom
- Calculated formation energy: 0.2428 eV per atom
- Space group: I4/mmm
- Volume: 31.47 A^3/atom

=====

# 8
DFT (GGA-PBE) results for a geometry-optimized Dy12Er6Zr structure.

```
Dy12Er6Zr
1.0
-7.780 -4.834 1.498
4.046 -2.609 -7.935
5.861 -0.857 7.145
Dy Er Zr
12 6 1
Cartesian
0.740 -2.433 4.280
4.105 -2.097 -1.881
-2.705 -3.825 -1.686
1.387 -5.867 -3.572
-1.978 -6.204 2.589
4.831 -4.475 2.394
4.171 -1.540 4.221
6.568 -4.312 -0.693
-0.271 -5.526 5.622
-2.044 -6.760 -3.513
-4.441 -3.988 1.401
2.398 -2.774 -4.914
2.370 -2.216 1.170
1.444 -5.403 2.451
3.085 -5.240 -0.562
-0.243 -6.084 -0.462
0.682 -2.897 -1.743
-0.958 -3.060 1.270
0.000 0.000 0.000
```

Results
- Crystal system: trigonal
- Fermi-level density of states: 24.4 states/eV/cell
- DFT total energy: -4.765 eV per atom
- Calculated formation energy: 0.0325 eV per atom
- Space group: R-3
- Volume: 30.54 A^3/atom

=====

# 9
DFT (GGA-PBE) results for a geometry-optimized Dy12Er5Zr2 structure.

```
Dy12Er5Zr2
1.0
-3.431 -6.462 -0.635
7.907 -0.575 5.601
-2.811 0.606 9.016
Dy Er Zr
12 5 2
Cartesian
3.716 -6.784 6.494
2.653 -0.437 11.703
0.909 -3.723 11.380
3.669 -0.669 8.350
1.943 -3.920 8.030
4.202 -3.351 11.397
-2.537 -3.080 2.586
-2.004 -5.762 5.633
-0.278 -2.511 5.953
-0.988 -5.994 2.280
0.756 -2.708 2.603
-2.051 0.353 7.489
0.271 -1.052 9.236
3.312 -2.272 5.222
-1.405 0.303 4.508
-1.647 -4.159 8.760
1.394 -5.379 4.747
-2.318 -4.367 -0.429
-1.112 -2.095 -0.206
```

Results
- Crystal system: monoclinic
- Fermi-level density of states: 26.5 states/eV/cell
- DFT total energy: -4.833 eV per atom
- Calculated formation energy: 0.1737 eV per atom
- Space group: C2/m
- Volume: 31.04 A^3/atom

=====

# 10
DFT (GGA-PBE) results for a geometry-optimized Dy4Er8Zr structure.

```
Dy4Er8Zr
1.0
-2.564 -1.341 7.039
6.904 1.565 2.795
-1.950 7.326 0.667
Dy Er Zr
4 8 1
Cartesian
-2.257 2.993 3.853
2.477 4.446 1.731
2.170 0.112 4.917
0.000 0.000 0.000
4.103 2.644 3.993
2.799 1.970 7.593
-1.714 4.906 6.508
3.112 6.387 4.345
1.805 5.702 7.930
0.585 1.848 2.571
-0.723 1.163 6.156
-0.409 5.581 2.908
1.195 3.775 5.250
```

Results
- Crystal system: trigonal
- Fermi-level density of states: 22.4 states/eV/cell
- DFT total energy: -4.344 eV per atom
- Calculated formation energy: 0.5373 eV per atom
- Space group: R-3m
- Volume: 33.91 A^3/atom

=====

# 11
DFT (GGA-PBE) results for a geometry-optimized Dy10Er4Zr structure.

```
Dy10Er4Zr
1.0
-5.307 5.549 0.465
-3.376 2.740 -7.603
-8.304 -2.675 0.778
Dy Er Zr
10 4 1
Cartesian
-7.167 1.420 -3.296
-11.058 2.408 -0.638
-2.855 0.452 -1.387
-11.877 2.804 -5.171
-8.185 5.565 -5.524
-5.930 3.207 -5.722
-9.820 4.195 -3.064
-8.802 0.050 -0.836
-5.110 2.811 -1.189
-14.133 5.163 -4.974
-5.718 -0.180 0.528
-5.638 5.534 -3.122
-11.350 0.081 -3.238
-11.270 5.795 -6.888
0.000 0.000 0.000
```

Results
- Crystal system: tetragonal
- Fermi-level density of states: 20.0 states/eV/cell
- DFT total energy: -4.620 eV per atom
- Calculated formation energy: 0.2349 eV per atom
- Space group: I4/mmm
- Volume: 31.76 A^3/atom

=====

# 12
DFT (GGA-PBE) results for a geometry-optimized Dy6Er12Zr structure.

```
Dy6Er12Zr
1.0
8.481 -0.148 -1.163
-1.314 8.380 -1.163
-0.129 -0.148 8.559
Dy Er Zr
6 12 1
Cartesian
7.108 2.535 6.295
6.434 7.390 0.760
1.532 7.390 6.295
0.604 0.694 5.473
-0.070 5.549 -0.062
5.506 0.694 -0.062
6.026 1.859 3.116
2.821 0.577 2.498
2.502 2.873 -0.120
6.854 5.210 3.735
4.536 5.210 6.352
4.217 7.506 3.735
3.216 6.224 0.628
1.316 4.042 5.604
1.012 6.224 3.116
3.822 1.859 5.604
5.722 4.042 0.628
0.184 2.873 2.498
0.000 0.000 0.000
```

Results
- Crystal system: trigonal
- Fermi-level density of states: 35.5 states/eV/cell
- DFT total energy: -4.536 eV per atom
- Calculated formation energy: 0.2495 eV per atom
- Space group: R-3m
- Volume: 31.77 A^3/atom

=====

# 13
DFT (GGA-PBE) results for a geometry-optimized Dy4Er6Zr structure.

```
Dy4Er6Zr
1.0
-1.343 8.526 0.935
-5.465 -1.580 6.558
6.716 0.433 5.700
Dy Er Zr
8 12 2
Cartesian
0.405 2.895 2.714
1.310 0.549 8.649
-0.498 4.484 10.480
1.955 7.046 7.395
3.763 3.112 5.564
-2.048 0.333 5.799
-1.403 6.830 4.545
-3.856 4.267 7.630
-1.744 1.828 8.739
-4.697 6.186 5.064
-1.715 5.311 1.618
1.262 0.961 5.263
1.171 0.076 0.994
-1.217 3.614 5.603
-5.093 1.634 5.876
5.545 0.358 4.706
-2.111 0.760 2.430
1.125 3.765 7.591
-1.355 6.418 7.931
1.652 5.551 4.455
-3.404 3.473 3.747
3.358 0.217 2.850
```

Results
- Crystal system: tetragonal
- Fermi-level density of states: 32.7 states/eV/cell
- DFT total energy: -4.790 eV per atom
- Calculated formation energy: 0.1492 eV per atom
- Space group: P4/mnc
- Volume: 30.22 A^3/atom

=====

# 14
DFT (GGA-PBE) results for a geometry-optimized Dy8Er2Zr structure.

```
Dy8Er2Zr
1.0
-4.250 2.257 1.113
-1.634 0.691 -7.638
-1.382 -8.948 1.909
Dy Er Zr
8 2 1
Cartesian
-3.479 0.036 -2.398
-2.398 -4.958 0.900
-1.216 -1.948 -0.692
-1.513 -0.183 -5.405
-6.050 -4.052 -3.924
-4.868 -1.042 -5.516
-3.786 -6.036 -2.217
-5.753 -5.816 0.790
-2.622 -3.098 -3.730
-4.644 -2.902 -0.886
-2.125 1.129 0.557
```

Results
- Crystal system: monoclinic
- Fermi-level density of states: 14.3 states/eV/cell
- DFT total energy: -4.910 eV per atom
- Calculated formation energy: 0.0437 eV per atom
- Space group: C2/m
- Volume: 30.28 A^3/atom
- Energy above the most stable polymorph in this dataset: 0.0 kJ/mol of atoms

=====

# 15
DFT (GGA-PBE) results for a geometry-optimized DyErZr2 structure.

```
DyErZr2
1.0
-2.968 -0.668 -1.183
-0.800 -3.071 -0.762
-5.198 -2.905 10.176
Dy Zr Er
1 2 1
Cartesian
0.000 0.000 0.000
-4.134 -2.457 7.254
-4.832 -4.187 0.976
-4.483 -3.322 4.115
```

Results
- Crystal system: trigonal
- Fermi-level density of states: 5.6 states/eV/cell
- DFT total energy: -6.283 eV per atom
- Calculated formation energy: 0.2821 eV per atom
- Space group: R-3m
- Volume: 26.85 A^3/atom
- Energy above the most stable polymorph in this dataset: 19.9 kJ/mol of atoms

=====

# 16
DFT (GGA-PBE) results for a geometry-optimized DyEr4Zr structure.

```
DyEr4Zr
1.0
-1.206 2.729 -1.726
-7.001 -5.800 -0.809
-0.009 6.780 3.805
Dy Er Zr
1 4 1
Cartesian
-7.608 -1.046 0.229
-5.751 1.820 0.009
-2.466 1.888 1.260
-5.156 3.767 2.659
-3.060 -0.058 -1.390
-8.206 -3.071 -2.536
```

Results
- Crystal system: triclinic
- Fermi-level density of states: 7.9 states/eV/cell
- DFT total energy: -5.180 eV per atom
- Calculated formation energy: 0.0540 eV per atom
- Space group: P-1
- Volume: 29.13 A^3/atom
- Energy above the most stable polymorph in this dataset: 0.0 kJ/mol of atoms

=====

# 17
DFT (GGA-PBE) results for a geometry-optimized Dy15Er4Zr structure.

```
Dy15Er4Zr
1.0
-1.883 0.712 4.554
4.354 -1.339 2.009
7.524 23.604 -0.578
Dy Er Zr
15 4 1
Cartesian
1.236 -0.314 3.282
2.720 4.342 3.168
4.238 9.104 3.051
5.758 13.873 2.934
7.276 18.635 2.818
-0.231 2.583 2.222
1.297 7.378 2.105
2.821 12.158 1.988
4.344 16.938 1.871
5.873 21.733 1.753
2.887 1.558 0.950
4.416 6.353 0.833
5.939 11.133 0.716
7.463 15.912 0.598
8.992 20.707 0.481
1.487 4.665 -0.114
3.002 9.416 -0.231
4.523 14.188 -0.348
6.037 18.939 -0.464
0.000 0.000 0.000
```

Results
- Crystal system: tetragonal
- Fermi-level density of states: 26.1 states/eV/cell
- DFT total energy: -4.759 eV per atom
- Calculated formation energy: 0.0326 eV per atom
- Space group: P4/mmm
- Volume: 30.72 A^3/atom

=====

# 18
DFT (GGA-PBE) results for a geometry-optimized DyErZr2 structure.

```
DyErZr2
1.0
3.358 -0.001 0.000
1.678 2.909 0.000
1.679 0.970 10.821
Dy Er Zr
1 1 2
Cartesian
3.359 1.939 5.411
5.038 2.909 10.815
1.679 0.969 8.125
1.678 0.969 2.703
```

Results
- Crystal system: trigonal
- Fermi-level density of states: 5.3 states/eV/cell
- DFT total energy: -6.463 eV per atom
- Calculated formation energy: 0.1019 eV per atom
- Space group: R3m
- Volume: 26.43 A^3/atom
- Energy above the most stable polymorph in this dataset: 2.5 kJ/mol of atoms